# ZrScVCd2 | the Alexandria database | PBE | optimized geometry
# Magnetic moment (Bohr magnetons per cell): 2.193
# Formation enthalpy at 0 K (eV per atom): 0.980
# D(E_F) (states/eV/f.u.): 5.729
# Uncorrected energy (eV/atom): -4.19
data_ZrScVCd2
_chemical_formula_sum 'Zr1 Sc1 V1 Cd2'
_cell_length_a 5.430
_cell_length_b 5.430
_cell_length_c 4.533
_cell_angle_alpha 90.00
_cell_angle_beta 90.00
_cell_angle_gamma 90.00
_space_group_name_H-M_alt 'P 4/m m m'
_space_group_IT_number 123
_space_group_name_Hall '-P 4 2'
loop_
_atom_site_label
_atom_site_type_symbol
_atom_site_fract_x
_atom_site_fract_y
_atom_site_fract_z
Zr1 Zr 0.000 0.000 0.000
Sc1 Sc 0.500 0.500 0.500
V1 V 0.000 0.000 0.500
Cd1 Cd 0.000 0.500 0.000

---

# LaWCl4 | the Alexandria database | PBE | optimized geometry
# Formation energy (no corrections) (eV per atom): 0.3514
# Magnetic moment (Bohr magnetons per cell): 19.931
# D(E_F) (states/eV/f.u.): 5.497
# Uncorrected energy (eV/atom): -3.86
data_LaWCl4
_chemical_formula_sum 'La4 W4 Cl16'
_cell_length_a 8.348
_cell_length_b 8.348
_cell_length_c 8.348
_cell_angle_alpha 90.00
_cell_angle_beta 90.00
_cell_angle_gamma 90.00
_space_group_name_H-M_alt 'F -4 3 m'
_space_group_IT_number 216
_space_group_name_Hall 'F -4 2 3'
loop_
_atom_site_label
_atom_site_type_symbol
_atom_site_fract_x
_atom_site_fract_y
_atom_site_fract_z
La1 La 0.000 0.000 0.000
W1 W 0.250 0.250 0.750
Cl1 Cl 0.125 0.125 0.375